VASP calculation (GGA+U) on an optimized crystal structure of LaMoO2.

Results
M_tot ... 0.19 μB/cell
Energy relative to the lowest polymorph listed for this composition ... 4 kJ/mol of formula units

abc: 3.8037 3.8037 18.7157
angles: 90.00 90.00 120.00
Space group R-3m (No. 166, hexagonal axes)
Asymmetric unit:
1 La 0.0000 0.0000 0.0000 x3
2 Mo 0.0000 0.0000 0.5000 x3
3 O 0.0000 0.0000 0.3900 x6


VASP calculation (GGA+U) on an optimized crystal structure of LaMoO5.

Results
M_tot ... 0.13 μB/cell
Energy relative to the lowest polymorph listed for this composition ... 0 kJ/mol of formula units

abc: 5.497 13.198 7.235
angles: 90.00 115.01 90.00
Space group P2_1/c (No. 14)
Asymmetric unit:
1 La 0.158 0.065 0.284 x4
2 Mo 0.421 0.135 0.858 x4
3 O 0.049 0.552 0.989 x4
4 O 0.213 0.059 0.951 x4
5 O 0.275 0.658 0.425 x4
6 O 0.277 0.244 0.270 x4
7 O 0.486 0.576 0.831 x4


VASP calculation (GGA+U) on an optimized crystal structure of La3Mo5O12.

Results
Electronic total energy ... -7.638 eV per atom
M_tot ... 120.00 μB/cell

abc: 13.504 13.504 13.504
angles: 90.00 90.00 90.00
Space group Ia-3d (No. 230)
Asymmetric unit:
1 La 0.000 0.250 0.125 x24
2 Mo 0.000 0.000 0.000 x16
3 Mo 0.000 0.250 0.375 x24
4 O 0.018 0.049 0.653 x96


> M_tot of number 3 (La3Mo5O12)?

120.00 μB/cell


> Which of these has the highest M_tot?

La3Mo5O12